Below is Na3Ge after structural relaxation, with properties calculated at the GGA-PBE level.

## Properties
total DFT energy (no corrections)	-8.59	eV for the cell shown
ΔH_f (0 K)	0.00	eV/atom

Cell: 5.217 5.217 5.217 Å, 60.00 60.00 60.00°
Sites, in units of the cell vectors:
1 Na 0.000 0.000 0.000
2 Na 0.250 0.250 0.250
3 Na 0.750 0.750 0.750
4 Ge 0.500 0.500 0.500

Below is SrRuW2 after structural relaxation, with properties calculated at the GGA-PBE level.

## Properties
total DFT energy (no corrections)	-32.71	eV for the cell shown
E above lowest polymorph	374.6	meV per atom
ΔH_f (0 K)	1.04	eV/atom

Cell: 3.145 4.607 5.075 Å, 90.00 90.00 90.00°
Sites, in units of the cell vectors:
1 Sr 0.000 0.000 0.000
2 Ru 0.500 0.500 0.000
3 W 0.000 0.500 0.500
4 W 0.500 0.000 0.500

Below is PrHoTlGa after structural relaxation, with properties calculated at the GGA-PBE level.

## Properties
total DFT energy (no corrections)	-16.45	eV for the cell shown
E above lowest polymorph	38.1	meV per atom
ΔH_f (0 K)	-0.42	eV/atom

Cell: 5.320 5.320 5.320 Å, 60.00 60.00 60.00°
Sites, in units of the cell vectors:
1 Pr 0.000 0.000 0.000
2 Ho 0.500 0.500 0.500
3 Tl 0.750 0.750 0.750
4 Ga 0.250 0.250 0.250

Below is SbICl4 after structural relaxation, with properties calculated at the GGA-PBE level.

## Properties
total DFT energy (no corrections)	-16.56	eV for the cell shown
uncorrected formation energy	-3.496	eV/f.u.

Cell: 4.982 7.261 8.839 Å, 103.46 102.81 109.78°
Sites, in units of the cell vectors:
1 Sb 0.000 0.000 0.000
2 I 0.056 0.673 0.515
3 Cl 0.246 0.151 0.289
4 Cl 0.559 0.741 0.009
5 Cl 0.620 0.781 0.555
6 Cl 0.788 0.246 0.973